La3PmPrDy after structural relaxation, computed with PBE-GGA.

Lattice parameters (Å, degrees): 5.252 8.196 11.047 116.15 90.00 90.00
Sites, in units of the cell vectors:
1 Dy 0.750 0.878 0.377
2 Dy 0.250 0.122 0.623
3 Pr 0.750 0.877 0.706
4 Pr 0.250 0.123 0.294
5 La 0.750 0.379 0.208
6 La 0.750 0.371 0.541
7 La 0.250 0.629 0.459
8 La 0.750 0.874 0.043
9 La 0.250 0.621 0.792
10 La 0.250 0.126 0.957
11 Pm 0.250 0.629 0.126
12 Pm 0.750 0.371 0.874

Computed properties:
**Energy of formation**: 2 kJ per mole of atoms
**ρ**: 6.731 g/cm3
**DOS at the Fermi energy**: 21.915 states/eV per cell

=====

LaPm2PrDy4 after structural relaxation, computed with PBE-GGA.

Lattice parameters (Å, degrees): 9.570 9.570 10.272 122.46 122.44 98.02
Sites, in units of the cell vectors:
1 Pm 0.875 0.123 0.499
2 Pm 0.500 0.000 0.500
3 Pm 0.624 0.376 0.000
4 Pm 0.500 0.000 0.000
5 La 0.124 0.878 0.001
6 La 0.377 0.623 0.500
7 Dy 0.625 0.375 0.500
8 Dy 0.750 0.751 0.498
9 Dy 0.750 0.750 0.002
10 Dy 0.122 0.878 0.500
11 Dy 0.250 0.249 0.998
12 Dy 0.875 0.125 0.000
13 Dy 0.251 0.250 0.503
14 Dy 0.378 0.622 0.000
15 Pr 0.000 0.500 0.500
16 Pr 0.000 0.500 0.000

Computed properties:
**Energy of formation**: 2 kJ per mole of atoms
**ρ**: 7.562 g/cm3
**DOS at the Fermi energy**: 23.328 states/eV per cell

=====

La2Pm6Pr3Dy after structural relaxation, computed with PBE-GGA.

Lattice parameters (Å, degrees): 6.370 6.370 12.186 95.03 95.03 120.00
Sites, in units of the cell vectors:
1 La 0.667 0.333 0.000
2 La 0.333 0.667 0.000
3 Pr 0.500 0.500 0.500
4 Pr 0.166 0.834 0.500
5 Pr 0.834 0.166 0.500
6 Pm 0.415 0.083 0.250
7 Pm 0.083 0.415 0.250
8 Pm 0.917 0.585 0.750
9 Pm 0.249 0.249 0.750
10 Pm 0.751 0.751 0.250
11 Pm 0.585 0.917 0.750
12 Dy 0.000 0.000 0.000

Computed properties:
**Energy of formation**: 1 kJ per mole of atoms
**ρ**: 6.825 g/cm3
**DOS at the Fermi energy**: 18.991 states/eV per cell

=====

LaPmPr2Dy4 after structural relaxation, computed with PBE-GGA.

Lattice parameters (Å, degrees): 3.643 6.290 11.912 79.71 90.00 90.00
Sites, in units of the cell vectors:
1 La 0.500 0.500 0.000
2 Dy 0.500 0.251 0.749
3 Dy 0.000 0.250 0.251
4 Dy 0.500 0.749 0.251
5 Dy 0.000 0.750 0.749
6 Pm 0.000 0.500 0.500
7 Pr 0.000 0.000 0.000
8 Pr 0.500 0.000 0.500

Computed properties:
**Energy of formation**: 1 kJ per mole of atoms
**ρ**: 7.517 g/cm3
**DOS at the Fermi energy**: 10.714 states/eV per cell

=====

LaPmPr2Dy5 after structural relaxation, computed with PBE-GGA.

Lattice parameters (Å, degrees): 8.768 8.768 10.042 115.89 115.89 90.00
Sites, in units of the cell vectors:
1 La 0.250 0.250 0.500
2 La 0.750 0.750 0.500
3 Dy 0.154 0.072 0.725
4 Dy 0.346 0.846 0.275
5 Dy 0.846 0.928 0.275
6 Dy 0.572 0.654 0.725
7 Dy 0.072 0.572 0.725
8 Dy 0.000 0.000 0.000
9 Dy 0.928 0.428 0.275
10 Dy 0.500 0.500 0.000
11 Dy 0.654 0.154 0.725
12 Dy 0.428 0.346 0.275
13 Pr 0.118 0.382 0.000
14 Pr 0.382 0.882 0.000
15 Pr 0.618 0.118 0.000
16 Pr 0.882 0.618 0.000
17 Pm 0.250 0.750 0.500
18 Pm 0.750 0.250 0.500

Computed properties:
**Energy of formation**: 24 kJ per mole of atoms
**ρ**: 7.536 g/cm3
**DOS at the Fermi energy**: 19.210 states/eV per cell

=====

La6Pm2PrDy after structural relaxation, computed with PBE-GGA.

Lattice parameters (Å, degrees): 9.343 7.001 6.752 121.22 105.09 90.00
Sites, in units of the cell vectors:
1 Dy 0.000 0.500 0.000
2 La 0.807 0.965 0.398
3 La 0.578 0.372 0.744
4 La 0.807 0.433 0.398
5 La 0.422 0.628 0.256
6 La 0.193 0.035 0.602
7 La 0.193 0.567 0.602
8 Pr 0.500 0.000 0.000
9 Pm 0.831 0.928 0.856
10 Pm 0.169 0.072 0.144

Computed properties:
**Energy of formation**: 17 kJ per mole of atoms
**ρ**: 6.586 g/cm3
**DOS at the Fermi energy**: 17.841 states/eV per cell

=====

LaPm2PrDy5 after structural relaxation, computed with PBE-GGA.

Lattice parameters (Å, degrees): 8.763 8.763 10.008 115.96 115.96 90.00
Sites, in units of the cell vectors:
1 Dy 0.342 0.842 0.270
2 Dy 0.158 0.072 0.730
3 Dy 0.428 0.342 0.270
4 Dy 0.658 0.158 0.730
5 Dy 0.842 0.928 0.270
6 Dy 0.500 0.500 0.000
7 Dy 0.072 0.572 0.730
8 Dy 0.000 0.000 0.000
9 Dy 0.572 0.658 0.730
10 Dy 0.928 0.428 0.270
11 Pm 0.882 0.618 0.000
12 Pm 0.118 0.382 0.000
13 Pm 0.382 0.882 0.000
14 Pm 0.618 0.118 0.000
15 La 0.750 0.750 0.500
16 La 0.250 0.250 0.500
17 Pr 0.250 0.750 0.500
18 Pr 0.750 0.250 0.500

Computed properties:
**Energy of formation**: 24 kJ per mole of atoms
**ρ**: 7.606 g/cm3
**DOS at the Fermi energy**: 19.909 states/eV per cell

=====

La5Pm2PrDy after structural relaxation, computed with PBE-GGA.

Lattice parameters (Å, degrees): 9.193 9.193 10.055 117.20 117.20 90.00
Sites, in units of the cell vectors:
1 La 0.155 0.068 0.723
2 La 0.655 0.155 0.723
3 La 0.068 0.568 0.723
4 La 0.345 0.845 0.277
5 La 0.000 0.000 0.000
6 La 0.432 0.345 0.277
7 La 0.845 0.932 0.277
8 La 0.500 0.500 0.000
9 La 0.568 0.655 0.723
10 La 0.932 0.432 0.277
11 Pm 0.886 0.614 0.000
12 Pm 0.114 0.386 0.000
13 Pm 0.386 0.886 0.000
14 Pm 0.614 0.114 0.000
15 Pr 0.250 0.250 0.500
16 Pr 0.750 0.750 0.500
17 Dy 0.750 0.250 0.500
18 Dy 0.250 0.750 0.500

Computed properties:
**Energy of formation**: 25 kJ per mole of atoms
**ρ**: 6.597 g/cm3
**DOS at the Fermi energy**: 32.647 states/eV per cell

=====

LaPm2Pr4Dy after structural relaxation, computed with PBE-GGA.

Lattice parameters (Å, degrees): 3.696 12.225 6.356 79.75 90.00 90.00
Sites, in units of the cell vectors:
1 La 0.500 0.500 0.000
2 Pr 0.000 0.751 0.748
3 Pr 0.500 0.251 0.750
4 Pr 0.500 0.749 0.250
5 Pr 0.000 0.249 0.252
6 Pm 0.500 0.000 0.500
7 Pm 0.000 0.000 0.000
8 Dy 0.000 0.500 0.500

Computed properties:
**Energy of formation**: 2 kJ per mole of atoms
**ρ**: 6.788 g/cm3
**DOS at the Fermi energy**: 13.097 states/eV per cell

=====

La4PmPrDy2 after structural relaxation, computed with PBE-GGA.

Lattice parameters (Å, degrees): 3.690 12.074 6.385 79.83 90.00 90.00
Sites, in units of the cell vectors:
1 La 0.500 0.754 0.249
2 La 0.500 0.246 0.751
3 La 0.000 0.245 0.253
4 La 0.000 0.755 0.747
5 Pr 0.500 0.500 0.000
6 Pm 0.000 0.500 0.500
7 Dy 0.500 0.000 0.500
8 Dy 0.000 0.000 0.000

Computed properties:
**Energy of formation**: 1 kJ per mole of atoms
**ρ**: 6.918 g/cm3
**DOS at the Fermi energy**: 11.861 states/eV per cell

=====

LaPm2PrDy2 after structural relaxation, computed with PBE-GGA.

Lattice parameters (Å, degrees): 3.441 6.645 18.340 90.00 90.00 90.00
Sites, in units of the cell vectors:
1 Dy 0.500 0.218 0.649
2 Dy 0.500 0.782 0.351
3 Dy 0.000 0.282 0.149
4 Dy 0.000 0.718 0.851
5 La 0.500 0.500 0.500
6 La 0.000 0.000 0.000
7 Pm 0.000 0.780 0.188
8 Pm 0.500 0.280 0.312
9 Pm 0.500 0.720 0.688
10 Pm 0.000 0.220 0.812
11 Pr 0.500 0.500 0.000
12 Pr 0.000 0.000 0.500

Computed properties:
**Energy of formation**: 25 kJ per mole of atoms
**ρ**: 7.087 g/cm3
**DOS at the Fermi energy**: 21.960 states/eV per cell

=====

LaPm5PrDy2 after structural relaxation, computed with PBE-GGA.

Lattice parameters (Å, degrees): 8.801 8.801 10.208 115.54 115.54 90.00
Sites, in units of the cell vectors:
1 La 0.250 0.250 0.500
2 La 0.750 0.750 0.500
3 Pm 0.564 0.670 0.733
4 Pm 0.500 0.500 0.000
5 Pm 0.330 0.830 0.267
6 Pm 0.064 0.564 0.733
7 Pm 0.830 0.936 0.267
8 Pm 0.000 0.000 0.000
9 Pm 0.670 0.170 0.733
10 Pm 0.936 0.436 0.267
11 Pm 0.436 0.330 0.267
12 Pm 0.170 0.064 0.733
13 Dy 0.120 0.380 0.000
14 Dy 0.620 0.120 0.000
15 Dy 0.880 0.620 0.000
16 Dy 0.380 0.880 0.000
17 Pr 0.250 0.750 0.500
18 Pr 0.750 0.250 0.500

Computed properties:
**Energy of formation**: 26 kJ per mole of atoms
**ρ**: 7.046 g/cm3
**DOS at the Fermi energy**: 27.663 states/eV per cell

=====

LaPm4PrDy2 after structural relaxation, computed with PBE-GGA.

Lattice parameters (Å, degrees): 3.652 6.281 12.143 79.89 90.00 90.00
Sites, in units of the cell vectors:
1 Pm 0.000 0.248 0.252
2 Pm 0.500 0.249 0.751
3 Pm 0.000 0.752 0.748
4 Pm 0.500 0.751 0.249
5 Dy 0.500 0.000 0.500
6 Dy 0.000 0.000 0.000
7 Pr 0.000 0.500 0.500
8 La 0.500 0.500 0.000

Computed properties:
**Energy of formation**: 2 kJ per mole of atoms
**ρ**: 7.175 g/cm3
**DOS at the Fermi energy**: 12.331 states/eV per cell

=====

La2PmPr6Dy after structural relaxation, computed with PBE-GGA.

Lattice parameters (Å, degrees): 10.212 8.989 8.989 117.73 95.28 95.28
Sites, in units of the cell vectors:
1 Pm 0.250 0.988 0.012
2 Pm 0.750 0.012 0.988
3 La 0.459 0.807 0.712
4 La 0.959 0.712 0.807
5 La 0.541 0.193 0.288
6 La 0.041 0.288 0.193
7 Pr 0.055 0.119 0.741
8 Pr 0.880 0.299 0.503
9 Pr 0.380 0.503 0.299
10 Pr 0.120 0.701 0.497
11 Pr 0.311 0.984 0.422
12 Pr 0.445 0.259 0.881
13 Pr 0.555 0.741 0.119
14 Pr 0.945 0.881 0.259
15 Pr 0.689 0.016 0.578
16 Pr 0.189 0.578 0.016
17 Pr 0.620 0.497 0.701
18 Pr 0.811 0.422 0.984
19 Dy 0.250 0.405 0.595
20 Dy 0.750 0.595 0.405

Computed properties:
**Energy of formation**: 10 kJ per mole of atoms
**ρ**: 6.611 g/cm3
**DOS at the Fermi energy**: 31.221 states/eV per cell

=====

LaPm6Pr2Dy after structural relaxation, computed with PBE-GGA.

Lattice parameters (Å, degrees): 10.009 8.994 8.994 118.39 94.80 94.80
Sites, in units of the cell vectors:
1 Pm 0.185 0.579 0.027
2 Pm 0.815 0.421 0.973
3 Pm 0.685 0.027 0.579
4 Pm 0.056 0.120 0.749
5 Pm 0.622 0.500 0.707
6 Pm 0.878 0.293 0.500
7 Pm 0.315 0.973 0.421
8 Pm 0.122 0.707 0.500
9 Pm 0.556 0.749 0.120
10 Pm 0.944 0.880 0.251
11 Pm 0.444 0.251 0.880
12 Pm 0.378 0.500 0.293
13 Pr 0.459 0.813 0.711
14 Pr 0.041 0.289 0.187
15 Pr 0.959 0.711 0.813
16 Pr 0.541 0.187 0.289
17 La 0.750 0.596 0.404
18 La 0.250 0.404 0.596
19 Dy 0.250 0.981 0.019
20 Dy 0.750 0.019 0.981

Computed properties:
**Energy of formation**: 11 kJ per mole of atoms
**ρ**: 6.868 g/cm3
**DOS at the Fermi energy**: 32.049 states/eV per cell

=====

La2Pm3Pr6Dy after structural relaxation, computed with PBE-GGA.

Lattice parameters (Å, degrees): 6.400 6.400 12.236 95.05 95.05 120.00
Sites, in units of the cell vectors:
1 Pr 0.248 0.248 0.749
2 Pr 0.752 0.752 0.251
3 Pr 0.415 0.084 0.251
4 Pr 0.916 0.585 0.749
5 Pr 0.084 0.415 0.251
6 Pr 0.585 0.916 0.749
7 Pm 0.166 0.834 0.500
8 Pm 0.834 0.166 0.500
9 Pm 0.500 0.500 0.500
10 La 0.333 0.667 0.000
11 La 0.667 0.333 0.000
12 Dy 0.000 0.000 0.000

Computed properties:
**Energy of formation**: 1 kJ per mole of atoms
**ρ**: 6.687 g/cm3
**DOS at the Fermi energy**: 19.831 states/eV per cell

=====

La3PmPr2Dy6 after structural relaxation, computed with PBE-GGA.

Lattice parameters (Å, degrees): 6.315 6.315 11.893 95.07 95.07 120.01
Sites, in units of the cell vectors:
1 Pm 0.000 0.000 0.000
2 Pr 0.667 0.333 0.000
3 Pr 0.333 0.667 0.000
4 Dy 0.250 0.250 0.752
5 Dy 0.416 0.083 0.248
6 Dy 0.083 0.416 0.248
7 Dy 0.917 0.584 0.752
8 Dy 0.584 0.917 0.752
9 Dy 0.750 0.750 0.248
10 La 0.167 0.833 0.500
11 La 0.500 0.500 0.500
12 La 0.833 0.167 0.500

Computed properties:
**Energy of formation**: 1 kJ per mole of atoms
**ρ**: 7.470 g/cm3
**DOS at the Fermi energy**: 14.246 states/eV per cell

=====

La2Pm2Pr4Dy after structural relaxation, computed with PBE-GGA.

Lattice parameters (Å, degrees): 3.724 9.824 9.896 115.07 90.00 100.93
Sites, in units of the cell vectors:
1 Pr 0.518 0.036 0.331
2 Pr 0.815 0.629 0.668
3 Pr 0.185 0.371 0.332
4 Pr 0.482 0.964 0.669
5 Pm 0.148 0.296 0.668
6 Pm 0.852 0.704 0.332
7 La 0.335 0.670 0.001
8 La 0.665 0.330 0.999
9 Dy 0.000 0.000 0.000

Computed properties:
**Energy of formation**: 1 kJ per mole of atoms
**ρ**: 6.700 g/cm3
**DOS at the Fermi energy**: 12.741 states/eV per cell

=====

La3Pm2DyS6 after structural relaxation, computed with PBE-GGA.

Lattice parameters (Å, degrees): 7.047 7.047 7.072 99.57 99.57 120.10
Sites, in units of the cell vectors:
1 La 0.831 0.169 0.500
2 La 0.169 0.831 0.500
3 La 0.500 0.500 0.500
4 Pm 0.333 0.667 0.000
5 Pm 0.667 0.333 0.000
6 S 0.754 0.754 0.239
7 S 0.405 0.079 0.237
8 S 0.246 0.246 0.761
9 S 0.595 0.921 0.763
10 S 0.079 0.405 0.237
11 S 0.921 0.595 0.763
12 Dy 0.000 0.000 0.000

Computed properties:
**Formation energy (no corrections)**: -2100 meV per atom
**ρ**: 6.153 g/cm3
**DOS at the Fermi energy**: 5.880 states/eV per cell